Record 1
The following is a PBE calculation of a geometry-optimized K2NaVSe4 structure, from the Alexandria database.

a = 6.5072 Å, b = 13.2996 Å, c = 24.9231 Å
α = 90.00°, β = 90.00°, γ = 90.00°
Space group Fddd (No. 70, origin choice 2)
Inequivalent atoms, fractional coordinates:
K 0.1250 0.1250 0.3117 x16
Na 0.1250 0.1250 0.1250 x8
V 0.1250 0.1250 0.6250 x8
Se 0.0699 0.2719 0.8204 x32

Computed properties:
Spin magnetization (μB/f.u.): 0.0
Total energy (eV/atom): -4.256
Formation energy without anion corrections (meV per atom): -934

***

Record 2
The following is a PBE calculation of a geometry-optimized KNaVSe4 structure, from the Alexandria database.

a = 7.3068 Å, b = 6.0174 Å, c = 9.7524 Å
α = 90.00°, β = 105.34°, γ = 90.00°
Space group P2_1/m (No. 11)
Inequivalent atoms, fractional coordinates:
K 0.2313 0.2500 0.4495 x2
Na 0.2609 0.2500 0.9482 x2
V 0.2643 0.7500 0.1817 x2
Se 0.0609 0.7500 0.3240 x2
Se 0.1183 0.7500 0.9485 x2
Se 0.4957 0.5186 0.7575 x4

Computed properties:
Spin magnetization (μB/f.u.): 0.0
Total energy (eV/atom): -4.427
Formation energy without anion corrections (meV per atom): -788

***

Record 3
The following is a PBE calculation of a geometry-optimized KNaVSe3 structure, from the Alexandria database.

a = 7.5059 Å, b = 13.9607 Å, c = 6.8884 Å
α = 90.00°, β = 90.00°, γ = 90.00°
Space group Cmcm (No. 63)
Inequivalent atoms, fractional coordinates:
K 0.0000 0.2099 0.2500 x4
Na 0.0000 0.4307 0.7500 x4
V 0.0000 0.0605 0.7500 x4
Se 0.0000 0.2249 0.7500 x4
Se 0.2127 0.0000 0.0000 x8

Computed properties:
Spin magnetization (μB/f.u.): 1.0
Total energy (eV/atom): -4.596
Formation energy without anion corrections (meV per atom): -931

***

Record 4
The following is a PBE calculation of a geometry-optimized KNaWSe4 structure, from the Alexandria database.

a = 6.9472 Å, b = 7.3199 Å, c = 9.1579 Å
α = 90.00°, β = 107.83°, γ = 90.00°
Space group P2_1/m (No. 11)
Inequivalent atoms, fractional coordinates:
K 0.2359 0.2500 0.4298 x2
Na 0.2690 0.2500 0.9502 x2
W 0.2916 0.7500 0.1886 x2
Se 0.0901 0.7500 0.3528 x2
Se 0.1003 0.7500 0.9315 x2
Se 0.4928 0.5050 0.7629 x4

Computed properties:
Spin magnetization (μB/f.u.): 0.0
Total energy (eV/atom): -4.939
Formation energy without anion corrections (meV per atom): -752

***

Record 5
The following is a PBE calculation of a geometry-optimized KNa2YSe structure, from the Alexandria database.

a = 6.6920 Å, b = 6.6920 Å, c = 5.3653 Å
α = 90.00°, β = 90.00°, γ = 90.00°
Space group P4/mmm (No. 123)
Inequivalent atoms, fractional coordinates:
K 0.0000 0.0000 0.0000 x1
Na 0.0000 0.5000 0.5000 x2
Y 0.5000 0.5000 0.5000 x1
Se 0.5000 0.5000 0.0000 x1

Computed properties:
Spin magnetization (μB/f.u.): 0.0
Total energy (eV/atom): -2.909
Formation energy without anion corrections (meV per atom): -172

***

Record 6
The following is a PBE calculation of a geometry-optimized KNa2Si structure, from the Alexandria database.

a = 5.0666 Å, b = 5.0666 Å, c = 21.2726 Å
α = 90.00°, β = 90.00°, γ = 90.00°
Space group I-42d (No. 122)
Inequivalent atoms, fractional coordinates:
K 0.0000 0.0000 0.0000 x4
Na 0.1678 0.2500 0.6250 x8
Si 0.0000 0.0000 0.5000 x4

Computed properties:
Spin magnetization (μB/f.u.): 0.0
Total energy (eV/atom): -1.929
Formation energy without anion corrections (meV per atom): 360

***

Record 7
The following is a PBE calculation of a geometry-optimized K3NaSi structure, from the Alexandria database.

a = 6.5796 Å, b = 6.5796 Å, c = 6.5796 Å
α = 90.00°, β = 90.00°, γ = 90.00°
Space group Pm-3m (No. 221)
Inequivalent atoms, fractional coordinates:
K 0.0000 0.0000 0.5000 x3
Na 0.5000 0.5000 0.5000 x1
Si 0.0000 0.0000 0.0000 x1

Computed properties:
Polymorph energy (0 for the lowest one) (eV per formula unit): 0.000
Spin magnetization (μB/f.u.): 2.0
Total energy (eV/atom): -1.694
Formation energy without anion corrections (meV per atom): 313

***

Record 8
The following is a PBE calculation of a geometry-optimized K2Na2Si structure, from the Alexandria database.

a = 7.8577 Å, b = 7.8577 Å, c = 6.1104 Å
α = 90.00°, β = 90.00°, γ = 90.00°
Space group P4/mbm (No. 127)
Inequivalent atoms, fractional coordinates:
K 0.1944 0.3056 0.0000 x4
Na 0.1644 0.6644 0.5000 x4
Si 0.0000 0.0000 0.5000 x2

Computed properties:
Spin magnetization (μB/f.u.): 0.0
Total energy (eV/atom): -1.827
Formation energy without anion corrections (meV per atom): 224